a) Density functional theory data (GGA-PBE) for a relaxed PHPtO2 crystal.

Mass density in g/cm³: 8.9

a = 3.9825 Å, b = 3.9825 Å, c = 3.0318 Å
α = 90.00°, β = 90.00°, γ = 90.00°
Fractional coordinates of all 5 atoms:
P: 0.0000 0.0000 0.5000
O: 0.5000 0.0000 0.0000
Pt: 0.5000 0.5000 0.5000
H: 0.0000 0.0000 0.0000
O: 0.0000 0.5000 0.0000

***

b) Density functional theory data (GGA-PBE) for a relaxed PHPtO2 crystal.

Mass density in g/cm³: 5.8

a = 3.7672 Å, b = 3.7672 Å, c = 5.1920 Å
α = 90.00°, β = 90.00°, γ = 90.00°
Site moments in Bohr magnetons follow the coordinates.
Fractional coordinates of all 5 atoms:
O: 0.0000 0.5000 0.0000  0.24
H: 0.5000 0.5000 0.5000  -0.01
O: 0.5000 0.0000 0.0000  0.24
Pt: 0.0000 0.0000 0.0000  0.33
P: 0.0000 0.0000 0.5000  0.08

***

Energy comparison, zero being the most stable, in kJ/mol of atoms: a) 4.7; b) 0.0.